9
Lattice="9.098 0.000 0.000 -4.549 7.879 0.000 0.000 0.000 3.176" Properties=species:S:1:pos:R:3 comment="Er2PuMg6, optimized geometry, DFT GGA-PBE" volume_a3_per_cell=227.7 space_group=P6/mmm magnetic_moment_mub_per_fu=0.15 energy_ev_per_atom=-3.408 n_ef_per_ev_atom=1.8605 ef_ev_per_atom=0.261 pbc="T T T"
Er 0.000 5.253 0.000
Er 4.549 2.626 0.000
Pu 0.000 0.000 0.000
Mg -1.509 2.613 1.588
Mg -3.040 5.266 1.588
Mg 3.017 0.000 1.588
Mg 1.509 2.613 1.588
Mg 6.080 0.000 1.588
Mg 3.040 5.266 1.588